{"formula": "Nd2Al9Rh3", "functional": "GGA-PBEsol", "state": "optimized geometry", "lattice_angstrom": [[-1.691, 5.737, -4.749], [-4.613, -6.078, 0.330], [-5.112, 4.259, 6.966]], "species": ["Nd", "Nd", "Nd", "Nd", "Al", "Al", "Al", "Al", "Al", "Al", "Al", "Al", "Al", "Al", "Al", "Al", "Al", "Al", "Al", "Al", "Al", "Al", "Rh", "Rh", "Rh", "Rh", "Rh", "Rh"], "fractional_positions": [[0.669, 0.995, 0.250], [0.331, 0.005, 0.750], [0.995, 0.669, 0.250], [0.005, 0.331, 0.750], [0.128, 0.128, 0.250], [0.872, 0.872, 0.750], [0.335, 0.003, 0.428], [0.665, 0.997, 0.572], [0.665, 0.997, 0.928], [0.003, 0.335, 0.072], [0.335, 0.003, 0.072], [0.997, 0.665, 0.928], [0.997, 0.665, 0.572], [0.003, 0.335, 0.428], [0.335, 0.335, 0.949], [0.665, 0.665, 0.051], [0.665, 0.665, 0.449], [0.335, 0.335, 0.551], [0.546, 0.337, 0.250], [0.454, 0.663, 0.750], [0.337, 0.546, 0.250], [0.663, 0.454, 0.750], [0.329, 0.671, 0.500], [0.671, 0.329, 0.500], [0.671, 0.329, 0.000], [0.329, 0.671, 0.000], [0.000, 0.000, 0.500], [0.000, 0.000, 0.000]], "formation_enthalpy_0k_ev_per_atom": -0.816}